No. 1
! GGA-PBE ScZnB, relaxed; values from VASP
&SYSTEM
  ibrav = 0, nat = 12, ntyp = 3
/
ATOMIC_SPECIES
Sc 44.96 Sc.upf
Zn 65.41 Zn.upf
B 10.81 B.upf
CELL_PARAMETERS angstrom
5.5631 0.0000 0.0000
0.0000 5.5631 0.0000
0.0000 0.0000 5.5631
ATOMIC_POSITIONS crystal
Sc 0.0000 0.0000 0.0000
Sc 0.0000 0.5000 0.5000
Sc 0.5000 0.0000 0.5000
Sc 0.5000 0.5000 0.0000
Zn 0.0000 0.0000 0.5000
Zn 0.0000 0.5000 0.0000
Zn 0.5000 0.0000 0.0000
Zn 0.5000 0.5000 0.5000
B 0.2500 0.2500 0.2500
B 0.2500 0.7500 0.7500
B 0.7500 0.2500 0.7500
B 0.7500 0.7500 0.2500
! Total DFT energy (no corrections) (eV/cell): -60.5



No. 2
! GGA-PBE Sc2ZnB, relaxed; values from VASP
&SYSTEM
  ibrav = 0, nat = 16, ntyp = 3
/
ATOMIC_SPECIES
Sc 44.96 Sc.upf
Zn 65.41 Zn.upf
B 10.81 B.upf
CELL_PARAMETERS angstrom
6.3268 0.0000 0.0000
0.0000 6.3268 0.0000
0.0000 0.0000 6.3268
ATOMIC_POSITIONS crystal
Sc 0.0000 0.0000 0.0000
Sc 0.0000 0.5000 0.5000
Sc 0.2500 0.2500 0.2500
Sc 0.2500 0.7500 0.7500
Sc 0.5000 0.0000 0.5000
Sc 0.5000 0.5000 0.0000
Sc 0.7500 0.2500 0.7500
Sc 0.7500 0.7500 0.2500
Zn 0.0000 0.0000 0.5000
Zn 0.0000 0.5000 0.0000
Zn 0.5000 0.0000 0.0000
Zn 0.5000 0.5000 0.5000
B 0.2500 0.2500 0.7500
B 0.2500 0.7500 0.2500
B 0.7500 0.2500 0.2500
B 0.7500 0.7500 0.7500
! Total DFT energy (no corrections) (eV/cell): -72.4



No. 3
! GGA-PBE Sc2ZnB6, relaxed; values from VASP
&SYSTEM
  ibrav = 0, nat = 36, ntyp = 3
/
ATOMIC_SPECIES
Sc 44.96 Sc.upf
Zn 65.41 Zn.upf
B 10.81 B.upf
CELL_PARAMETERS angstrom
8.9218 0.0000 0.0000
0.0000 11.2294 0.0000
0.0000 0.0000 3.4542
ATOMIC_POSITIONS crystal
Sc 0.0565 0.1287 0.0000
Sc 0.1796 0.4136 0.0000
Sc 0.3204 0.9136 0.0000
Sc 0.4435 0.6287 0.0000
Sc 0.5565 0.3713 0.0000
Sc 0.6796 0.0864 0.0000
Sc 0.8204 0.5864 0.0000
Sc 0.9435 0.8713 0.0000
Zn 0.1394 0.6782 0.0000
Zn 0.3606 0.1782 0.0000
Zn 0.6394 0.8218 0.0000
Zn 0.8606 0.3218 0.0000
B 0.0223 0.2885 0.5000
B 0.0513 0.5632 0.5000
B 0.1013 0.9725 0.5000
B 0.1315 0.8205 0.5000
B 0.2025 0.2396 0.5000
B 0.2464 0.0776 0.5000
B 0.2536 0.5776 0.5000
B 0.2975 0.7396 0.5000
B 0.3685 0.3205 0.5000
B 0.3987 0.4725 0.5000
B 0.4487 0.0632 0.5000
B 0.4777 0.7885 0.5000
B 0.5223 0.2115 0.5000
B 0.5513 0.9368 0.5000
B 0.6013 0.5275 0.5000
B 0.6315 0.6795 0.5000
B 0.7025 0.2604 0.5000
B 0.7464 0.4224 0.5000
B 0.7536 0.9224 0.5000
B 0.7975 0.7604 0.5000
B 0.8685 0.1795 0.5000
B 0.8987 0.0275 0.5000
B 0.9487 0.4368 0.5000
B 0.9777 0.7115 0.5000
! Total DFT energy (no corrections) (eV/cell): -234.7



No. 4
! GGA-PBE Sc3ZnB2, relaxed; values from VASP
&SYSTEM
  ibrav = 0, nat = 12, ntyp = 3
/
ATOMIC_SPECIES
Sc 44.96 Sc.upf
Zn 65.41 Zn.upf
B 10.81 B.upf
CELL_PARAMETERS angstrom
3.3046 0.0000 0.0000
-1.6523 2.8619 0.0000
0.0000 0.0000 21.6196
ATOMIC_POSITIONS crystal
Sc 0.0000 0.0000 0.0000
Sc 0.0000 0.0000 0.5000
Sc 0.3333 0.6667 0.1402
Sc 0.3333 0.6667 0.3598
Sc 0.6667 0.3333 0.6402
Sc 0.6667 0.3333 0.8598
Zn 0.0000 0.0000 0.2500
Zn 0.0000 0.0000 0.7500
B 0.3333 0.6667 0.5743
B 0.3333 0.6667 0.9257
B 0.6667 0.3333 0.0743
B 0.6667 0.3333 0.4257
! Total DFT energy (no corrections) (eV/cell): -67.2



No. 5
! GGA-PBE Sc2ZnB, relaxed; values from VASP
&SYSTEM
  ibrav = 0, nat = 8, ntyp = 3
/
ATOMIC_SPECIES
Sc 44.96 Sc.upf
Zn 65.41 Zn.upf
B 10.81 B.upf
CELL_PARAMETERS angstrom
3.2900 0.0000 0.0000
-1.6450 2.8493 0.0000
0.0000 0.0000 15.4010
ATOMIC_POSITIONS crystal
Sc 0.3333 0.6667 0.0963
Sc 0.3333 0.6667 0.4037
Sc 0.6667 0.3333 0.5963
Sc 0.6667 0.3333 0.9037
Zn 0.3333 0.6667 0.7500
Zn 0.6667 0.3333 0.2500
B 0.0000 0.0000 0.0000
B 0.0000 0.0000 0.5000
! Total DFT energy (no corrections) (eV/cell): -41.7



No. 6
! GGA-PBE Sc2ZnB2, relaxed; values from VASP
&SYSTEM
  ibrav = 0, nat = 10, ntyp = 3
/
ATOMIC_SPECIES
Sc 44.96 Sc.upf
Zn 65.41 Zn.upf
B 10.81 B.upf
CELL_PARAMETERS angstrom
3.1454 0.0000 0.0000
0.0000 12.2246 0.0000
0.0000 0.0000 3.5145
ATOMIC_POSITIONS crystal
Sc 0.0000 0.1385 0.0000
Sc 0.0000 0.8615 0.0000
Sc 0.5000 0.3615 0.0000
Sc 0.5000 0.6385 0.0000
Zn 0.0000 0.5000 0.5000
Zn 0.5000 0.0000 0.5000
B 0.0000 0.2802 0.5000
B 0.0000 0.7198 0.5000
B 0.5000 0.2198 0.5000
B 0.5000 0.7802 0.5000
! Total DFT energy (no corrections) (eV/cell): -60.2